w | {"formula": "Li8TlGa2", "functional": "PBE-GGA", "state": "optimized geometry", "lattice_angstrom": [[3.725, -6.881, 0.000], [3.725, 6.881, 0.000], [-2.766, 0.000, 3.741]], "species": ["Li", "Li", "Li", "Li", "Li", "Li", "Li", "Li", "Tl", "Ga", "Ga"], "frac_coords": [[0.093, 0.368, 0.708], [0.206, 0.794, 0.000], [0.368, 0.093, 0.708], [0.431, 0.431, 0.204], [0.569, 0.569, 0.796], [0.632, 0.907, 0.292], [0.794, 0.206, 0.000], [0.907, 0.632, 0.292], [0.000, 0.000, 0.000], [0.317, 0.683, 0.500], [0.683, 0.317, 0.500]], "dos_at_fermi_per_ev_fu": 3.3, "magmom_total_mub_per_cell": 0.0}

---

x | {"formula": "Li8TlGa2", "functional": "PBE-GGA", "state": "optimized geometry", "lattice_angstrom": [[4.133, -5.412, 0.000], [4.133, 5.412, 0.000], [0.000, 0.000, 4.538]], "species": ["Li", "Li", "Li", "Li", "Li", "Li", "Li", "Li", "Tl", "Ga", "Ga"], "frac_coords": [[0.160, 0.160, 0.000], [0.196, 0.463, 0.500], [0.242, 0.758, 0.000], [0.463, 0.196, 0.500], [0.537, 0.804, 0.500], [0.758, 0.242, 0.000], [0.804, 0.537, 0.500], [0.840, 0.840, 0.000], [0.500, 0.500, 0.000], [0.114, 0.886, 0.500], [0.886, 0.114, 0.500]], "dos_at_fermi_per_ev_fu": 5.7, "magmom_total_mub_per_cell": 0.0}

---

Which one is most stable, and which one is least stable? x is the most stable of them, while w is the least stable.

---

w | {"formula": "Li3TlGa", "functional": "PBE-GGA", "state": "optimized geometry", "lattice_angstrom": [[4.899, 0.000, 0.000], [0.000, 4.899, 0.000], [0.000, 0.000, 4.899]], "species": ["Li", "Li", "Li", "Tl", "Ga"], "frac_coords": [[0.000, 0.000, 0.500], [0.000, 0.500, 0.000], [0.500, 0.000, 0.000], [0.500, 0.500, 0.500], [0.000, 0.000, 0.000]], "dos_at_fermi_per_ev_fu": 4.4, "magmom_total_mub_per_cell": 0.0}

---

x | {"formula": "Li3TlGa", "functional": "PBE-GGA", "state": "optimized geometry", "lattice_angstrom": [[5.121, 0.000, 0.000], [0.000, 5.121, 0.000], [0.000, 0.000, 5.121]], "species": ["Li", "Li", "Li", "Tl", "Ga"], "frac_coords": [[0.000, 0.000, 0.500], [0.000, 0.500, 0.000], [0.500, 0.000, 0.000], [0.000, 0.000, 0.000], [0.500, 0.500, 0.500]], "dos_at_fermi_per_ev_fu": 4.7, "magmom_total_mub_per_cell": 0.0}

---

y | {"formula": "Li3TlGa", "functional": "PBE-GGA", "state": "optimized geometry", "lattice_angstrom": [[4.720, 0.000, 0.000], [0.000, 6.004, 0.000], [-2.360, 0.000, 6.550]], "species": ["Li", "Li", "Li", "Li", "Li", "Li", "Tl", "Tl", "Ga", "Ga"], "frac_coords": [[0.014, 0.250, 0.025], [0.194, 0.004, 0.390], [0.194, 0.496, 0.390], [0.806, 0.504, 0.610], [0.806, 0.996, 0.610], [0.986, 0.750, 0.975], [0.399, 0.250, 0.796], [0.601, 0.750, 0.204], [0.376, 0.750, 0.755], [0.624, 0.250, 0.245]], "dos_at_fermi_per_ev_fu": 1.7, "magmom_total_mub_per_cell": 0.0}

---

Which one is most stable, and which one is least stable? y is the most stable of them, while x is the least stable.

---

w | {"formula": "Li2TlGa2", "functional": "PBE-GGA", "state": "optimized geometry", "lattice_angstrom": [[-2.002, 2.002, 6.404], [2.002, -2.002, 6.404], [2.002, 2.002, -6.404]], "species": ["Li", "Li", "Tl", "Ga", "Ga"], "frac_coords": [[0.250, 0.750, 0.500], [0.750, 0.250, 0.500], [0.000, 0.000, 0.000], [0.400, 0.400, 0.000], [0.600, 0.600, 0.000]], "dos_at_fermi_per_ev_fu": 2.0, "magmom_total_mub_per_cell": 0.0}

---

x | {"formula": "Li2TlGa2", "functional": "PBE-GGA", "state": "optimized geometry", "lattice_angstrom": [[7.958, 0.000, 0.000], [0.000, 7.958, 0.000], [0.000, 0.000, 3.054]], "species": ["Li", "Li", "Li", "Li", "Tl", "Tl", "Ga", "Ga", "Ga", "Ga"], "frac_coords": [[0.184, 0.316, 0.000], [0.316, 0.816, 0.000], [0.684, 0.184, 0.000], [0.816, 0.684, 0.000], [0.000, 0.000, 0.500], [0.500, 0.500, 0.500], [0.114, 0.614, 0.500], [0.386, 0.114, 0.500], [0.614, 0.886, 0.500], [0.886, 0.386, 0.500]], "dos_at_fermi_per_ev_fu": 1.6, "magmom_total_mub_per_cell": 0.0}

---

Which one is most stable, and which one is least stable? x is the most stable of them, while w is the least stable.